First-principles (PBE) data for crystalline Sc2AlRe at its relaxed geometry, as listed in the Alexandria database.

Results
Uncorrected energy = -0.2644 Ha/atom
N(E_F) = 3.64 states/eV per cell
Total magnetic moment = 0.00 μB per formula unit
DFT formation energy = 0.02 eV per atom

a = 4.867 Å, b = 4.867 Å, c = 5.510 Å
α = 84.47°, β = 84.47°, γ = 34.14°
Element x y z (fractional)
Sc: 0.999 0.999 0.994
Al: 0.250 0.250 0.250
Sc: 0.501 0.501 0.506
Re: 0.750 0.750 0.750